The following is a DFT calculation (PBE) of a relaxed structure of Al2BTeS.

Computed properties:
Calculated total energy = -18.170 eV/f.u.
Energy relative to the elements, uncorrected = 652 meV/atom
Calculated volume = 19.0 Å³ per atom
Fermi-level density of states = 0.551 states/eV/atom

Geometry as CIF:
```
data_Al2BTeS
_symmetry_space_group_name_H-M 'P 4/m m m'
_symmetry_Int_Tables_number 123
_symmetry_space_group_name_Hall '-P 4 2'
_cell_length_a 4.9774
_cell_length_b 4.9774
_cell_length_c 3.8345
_cell_angle_alpha 90.00
_cell_angle_beta 90.00
_cell_angle_gamma 90.00
loop_
_atom_site_label
_atom_site_type_symbol
_atom_site_fract_x
_atom_site_fract_y
_atom_site_fract_z
_atom_site_occupancy
Al1 Al 0.0000 0.5000 0.0000 1
B1 B 0.0000 0.0000 0.5000 1
Te1 Te 0.5000 0.5000 0.5000 1
S1 S 0.0000 0.0000 0.0000 1
```